VASP calculation (GGA-PBE) on SmScCu2 after structural relaxation.

Lattice parameters (Å, degrees): 3.3647 3.3647 6.9330 90.00 90.00 90.00
With the nearest neighbours (Å) after each atom.
Element x y z (fractional)
Sm (0.0000, 0.0000, 0.0000)  8 Cu 3.11, 4 Sm 3.36, 2 Sc 3.47
Sc (0.0000, 0.0000, 0.5000)  8 Cu 2.79
Cu (0.5000, 0.5000, 0.2896)  4 Sc 2.79, 1 Cu 2.92, 4 Sm 3.11
Cu (0.5000, 0.5000, 0.7104)  4 Sc 2.79, 1 Cu 2.92, 4 Sm 3.11

Computed properties:
**Electronic total energy**: -5.03 eV per atom
**Total magnetic moment**: 0.0 μB/cell
**Energy relative to the lowest polymorph listed for this composition**: 0 meV/atom
**Formation enthalpy at 0 K**: -0.22 eV per atom